A relaxed Ac3As4Pd4 crystal, computed with PBE.

The structure in POSCAR format:
```
Ac3As4Pd4
1.0
4.4582 0.0000 0.0000
0.0000 4.3892 0.0000
-2.2291 -2.1946 12.8747
As Pd Ac
4 4 3
Direct
0.5513 0.5513 0.1026
0.1945 0.6945 0.3891
0.4487 0.4487 0.8974
0.8055 0.3055 0.6109
0.9043 0.4043 0.8085
0.7492 0.7492 0.4984
0.0957 0.5957 0.1915
0.2508 0.2508 0.5016
0.6524 0.1524 0.3049
0.3476 0.8476 0.6951
0.0000 0.0000 0.0000
```

Properties
* Fermi-level density of states: 0.487 states/eV/atom
* energy of formation: -1047 meV per atom

***

A relaxed CaNd9Tm2 crystal, computed with PBE.

The structure in POSCAR format:
```
CaNd9Tm2
1.0
-1.1626 3.5190 -3.6061
-4.9857 -1.3383 0.3014
-2.1900 10.6602 11.1087
Nd Tm Ca
9 2 1
Direct
0.0000 0.5000 0.5000
0.5000 0.0000 0.8268
0.0000 0.5000 0.8268
0.5000 0.5000 0.3353
0.5000 0.5000 0.6647
0.5000 0.0000 0.5000
0.5000 0.0000 0.1732
0.5000 0.5000 0.0000
0.0000 0.5000 0.1732
0.0000 0.0000 0.3348
0.0000 0.0000 0.6652
0.0000 0.0000 0.0000
```

Properties
* Fermi-level density of states: 1.541 states/eV/atom
* energy of formation: 31 meV per atom